# 1
First-principles (GGA-PBE) data for crystalline LaNdHo2 at its relaxed geometry, as listed in Alexandria.

a = 5.5723 Å, b = 6.1414 Å, c = 10.0818 Å
α = 119.04°, β = 90.00°, γ = 90.00°
Closest atoms and distances in Å follow each position.
Atoms (fractional coordinates):
Ho 0.5000 0.2126 0.8725  1 Ho 3.20, 2 Nd 3.24-3.53, 3 La 3.32-3.57
La 0.5000 0.0000 0.5000  6 Ho 3.28-3.32, 2 Nd 3.29
Ho 0.0000 0.8434 0.6036  3 La 3.28-3.63, 1 Ho 3.46, 2 Nd 3.54
Ho 0.5000 0.7874 0.1275  1 Ho 3.20, 2 Nd 3.24-3.53, 3 La 3.32-3.57
Nd 0.5000 0.3906 0.2892  4 Ho 3.24-3.54, 1 La 3.29
La 0.0000 0.0000 0.0000  6 Ho 3.57-3.63, 4 Nd 3.90
Nd 0.5000 0.6094 0.7108  4 Ho 3.24-3.54, 1 La 3.29
Ho 0.0000 0.1566 0.3964  3 La 3.28-3.63, 1 Ho 3.46, 2 Nd 3.54

Results
**V**: 302 Å³/cell
**Space-group type**: P2/m (10)
**Magnetic moment**: 0.0 μB/cell
**Energy above the most stable polymorph in this dataset**: 0.435 eV per atom

# 2
First-principles (GGA-PBE) data for crystalline LaNd2Ho at its relaxed geometry, as listed in Alexandria.

a = 5.2000 Å, b = 5.1545 Å, c = 5.1545 Å
α = 90.00°, β = 90.00°, γ = 90.00°
Closest atoms and distances in Å follow each position.
Atoms (fractional coordinates):
Ho 0.5000 0.5000 0.5000  4 La 3.64, 8 Nd 3.66
Nd 0.0000 0.0000 0.5000  4 Nd 3.64, 4 La 3.66, 4 Ho 3.66
Nd 0.0000 0.5000 0.0000  4 Nd 3.64, 4 La 3.66, 4 Ho 3.66
La 0.5000 0.0000 0.0000  4 Ho 3.64, 8 Nd 3.66

Results
**V**: 138 Å³/cell
**Space-group type**: P4/mmm (123)
**Magnetic moment**: 0.0 μB/cell
**Energy above the most stable polymorph in this dataset**: 0.000 eV per atom

| no. | formation energy from the elements (eV/atom) |
| --- | --- |
| 1 | 0.4481 |
| 2 | 0.0164 |